AsAu2S, relaxed, DFT GGA-PBEsol; crystal system = tetragonal; spin magnetization = 0.0 μB per cell; final energy = -4.128 eV/atom
1.0
-3.133 3.133 4.337
3.133 -3.133 4.337
3.133 3.133 -4.337
As Au S
2 4 2
direct
0.000 0.000 0.000
0.750 0.250 0.500
0.131 0.125 0.506
0.375 0.869 0.994
0.619 0.625 0.494
0.875 0.381 0.006
0.250 0.750 0.500
0.500 0.500 0.000


NiC, relaxed, DFT GGA-PBEsol; energy of formation from the pure elements = 25.82 kcal/mol of atoms; crystal system = hexagonal; spin magnetization = 0.0 μB per cell; final energy = -6.781 eV/atom
1.0
5.046 0.000 0.000
-2.523 4.370 0.000
0.000 0.000 2.412
Ni C
3 3
direct
0.000 0.000 0.000
0.333 0.667 0.500
0.667 0.333 0.500
0.000 0.365 0.000
0.365 0.000 0.000
0.635 0.635 0.000


MnCoSb, relaxed, DFT GGA-PBEsol; crystal system = cubic; spin magnetization = 3.3 μB per cell; final energy = -6.964 eV/atom
1.0
0.000 2.931 2.931
2.931 0.000 2.931
2.931 2.931 0.000
Mn Co Sb
1 1 1
direct
0.000 0.000 0.000
0.500 0.500 0.500
0.750 0.750 0.750


BaNiS3, relaxed, DFT GGA-PBEsol; crystal system = cubic; spin magnetization = 0.0 μB per cell; final energy = -5.136 eV/atom
1.0
4.596 0.000 0.000
0.000 4.596 0.000
0.000 0.000 4.596
Ba Ni S
1 1 3
direct
0.000 0.000 0.000
0.500 0.500 0.500
0.000 0.500 0.500
0.500 0.000 0.500
0.500 0.500 0.000


Co2HgRh, relaxed, DFT GGA-PBEsol; energy of formation from the pure elements = 8.25 kcal/mol of atoms; crystal system = orthorhombic; spin magnetization = 3.9 μB per cell; final energy = -5.687 eV/atom
1.0
2.691 -3.653 0.000
2.691 3.653 0.000
0.000 0.000 2.746
Co Hg Rh
2 1 1
direct
0.000 0.500 0.000
0.500 0.000 0.000
0.000 0.000 0.500
0.500 0.500 0.500


AsPF2, relaxed, DFT GGA-PBEsol; crystal system = cubic; spin magnetization = 0.0 μB per cell; final energy = -3.880 eV/atom
1.0
0.000 2.941 2.941
2.941 0.000 2.941
2.941 2.941 0.000
As P F
1 1 2
direct
0.000 0.000 0.000
0.500 0.500 0.500
0.250 0.250 0.250
0.750 0.750 0.750